Entry 1:
Density functional theory data (PBE-GGA) for an optimized crystal structure of Rb2Ag2Sn.

POSCAR file:
```
Rb2Ag2Sn
1.0
-3.2501 -3.6982 0.4004
0.9675 -1.3538 -4.6510
4.2428 -6.9957 0.2957
Rb Sn Ag
2 1 2
direct
0.7500 0.2500 0.5000 Rb
0.2500 0.7500 0.5000 Rb
0.0000 0.0000 0.0000 Sn
0.4109 0.4109 0.1781 Ag
0.5891 0.5891 0.8219 Ag
```

Output
The energy relative to the elements is 0.48 eV/atom. Its symmetry is No. 139. Its density is 4.64 g/cm³. The polymorph energy (0 for the lowest one) is 547 meV per atom. For the spin magnetization, the calculation gives 0.000 μB per atom.

Entry 2:
Density functional theory data (PBE-GGA) for an optimized crystal structure of Rb3Ag2Sn7.

POSCAR file:
```
Rb3Ag2Sn7
1.0
4.5586 0.0000 0.0000
0.0000 6.6292 -1.1251
0.0000 -1.4466 13.6048
Rb Ag Sn
3 2 7
direct
0.5000 0.5000 0.0000 Rb
0.5000 0.6882 0.3961 Rb
0.5000 0.3118 0.6039 Rb
0.0000 0.6209 0.8101 Ag
0.0000 0.3791 0.1899 Ag
0.0000 0.2042 0.8064 Sn
0.0000 0.8211 0.6455 Sn
0.0000 0.0000 0.0000 Sn
0.0000 0.7958 0.1936 Sn
0.5000 0.0987 0.1812 Sn
0.5000 0.9013 0.8188 Sn
0.0000 0.1789 0.3545 Sn
```

Output
The energy relative to the elements is -0.11 eV/atom. Its symmetry is No. 10. Its density is 5.36 g/cm³. For the spin magnetization, the calculation gives 0.000 μB per atom.

Entry 3:
Density functional theory data (PBE-GGA) for an optimized crystal structure of RbAgSn6.

POSCAR file:
```
RbAgSn6
1.0
-3.8552 -2.3664 2.1860
2.8922 -4.0441 0.7228
2.8116 3.5920 8.8469
Rb Ag Sn
1 1 6
direct
0.0000 0.0000 0.0000 Rb
0.0000 0.0000 0.5000 Ag
0.5000 0.0000 0.6651 Sn
0.0000 0.5000 0.6651 Sn
0.5000 0.5000 0.1556 Sn
0.5000 0.5000 0.8444 Sn
0.0000 0.5000 0.3349 Sn
0.5000 0.0000 0.3349 Sn
```

Output
The energy relative to the elements is -0.05 eV/atom. Its symmetry is No. 123. Its density is 5.99 g/cm³. For the spin magnetization, the calculation gives 0.000 μB per atom.

Entry 4:
Density functional theory data (PBE-GGA) for an optimized crystal structure of Rb2Ag3Sn4.

POSCAR file:
```
Rb2Ag3Sn4
1.0
5.7421 0.0503 0.0000
-2.6241 5.1076 0.0000
-1.5590 -2.5789 10.1991
Rb Ag Sn
2 3 4
direct
0.6928 0.6928 0.3856 Rb
0.3072 0.3072 0.6144 Rb
0.5000 0.0000 0.0000 Ag
0.0000 0.0000 0.0000 Ag
0.0000 0.5000 0.0000 Ag
0.0493 0.7194 0.7687 Sn
0.7194 0.0493 0.7687 Sn
0.9507 0.2806 0.2313 Sn
0.2806 0.9507 0.2313 Sn
```

Output
The energy relative to the elements is -0.06 eV/atom. Its symmetry is No. 69. Its density is 5.36 g/cm³. For the spin magnetization, the calculation gives 0.000 μB per atom.

Entry 5:
Density functional theory data (PBE-GGA) for an optimized crystal structure of RbAg2Sn5.

POSCAR file:
```
RbAg2Sn5
1.0
-4.7451 0.1315 1.6882
-3.2283 -6.6726 -1.0364
-0.6407 -4.3511 6.0562
Rb Ag Sn
1 2 5
direct
0.0000 0.0000 0.0000 Rb
0.7570 0.7430 0.7430 Ag
0.2430 0.2570 0.2570 Ag
0.0000 0.5000 0.5000 Sn
0.6385 0.5512 0.1718 Sn
0.3615 0.4488 0.8282 Sn
0.3615 0.8282 0.4488 Sn
0.6385 0.1718 0.5512 Sn
```

Output
The energy relative to the elements is -0.03 eV/atom. Its symmetry is No. 71. Its density is 6.40 g/cm³. For the spin magnetization, the calculation gives 0.000 μB per atom.

Entry 6:
Density functional theory data (PBE-GGA) for an optimized crystal structure of Rb2Ag2Sn.

POSCAR file:
```
Rb2Ag2Sn
1.0
6.7960 0.0000 0.0000
3.3980 7.3446 -0.3075
3.3980 1.9599 8.5787
Rb Ag Sn
4 4 2
direct
0.6813 0.2031 0.4343 Rb
0.3187 0.7969 0.5657 Rb
0.1091 0.6923 0.0896 Rb
0.8909 0.3077 0.9104 Rb
0.1087 0.3527 0.4300 Ag
0.8913 0.6473 0.5700 Ag
0.4706 0.1791 0.8797 Ag
0.5294 0.8209 0.1203 Ag
0.3218 0.1649 0.1915 Sn
0.6782 0.8351 0.8085 Sn
```

Output
The energy relative to the elements is 0.06 eV/atom. Its symmetry is No. 12. Its density is 3.88 g/cm³. The polymorph energy (0 for the lowest one) is 123 meV per atom. For the spin magnetization, the calculation gives 0.000 μB per atom.